Entry 1:
First-principles (GGA-PBE) data for a relaxed structure of TaPtSCl2, as listed in Alexandria via LeMat-Bulk.

Cell: 4.7535 4.7535 4.8178 Å, 90.00 90.00 90.00°
Sites, in units of the cell vectors:
S1 0.0000 0.0000 0.5000
Cl1 0.0000 0.5000 0.0000
Cl2 0.5000 0.0000 0.0000
Pt1 0.5000 0.5000 0.5000
Ta1 0.0000 0.0000 0.0000

Values from the calculation:
- N(E_F): 9.2 states/eV/f.u.
- Density: 7.3 g/cm³
- Offset from the most stable computed form: 0.000 eV/atom
- Formation energy (no corrections): 223 meV per atom
- DFT total energy: -4.9196 eV per atom
- Symmetry: No. 123



Entry 2:
First-principles (GGA-PBE) data for a relaxed structure of TaPtSCl2, as listed in Alexandria via LeMat-Bulk.

Cell: 4.7490 4.7490 4.8245 Å, 90.00 90.00 90.00°
Site moments in Bohr magnetons follow the coordinates.
Sites, in units of the cell vectors:
S1 0.0000 0.0000 0.5000  -0.12
Cl1 0.0000 0.5000 0.0000  -0.02
Cl2 0.5000 0.0000 0.0000  -0.02
Pt1 0.0000 0.0000 0.0000  -0.04
Ta1 0.5000 0.5000 0.5000  2.11

Values from the calculation:
- N(E_F): 5.2 states/eV/f.u.
- Density: 7.3 g/cm³
- Offset from the most stable computed form: 0.626 eV/atom
- Formation energy (no corrections): 850 meV per atom
- DFT total energy: -4.2932 eV per atom
- Symmetry: No. 123



Entry 3:
First-principles (GGA-PBE) data for a relaxed structure of Tb4PtS2Cl, as listed in Alexandria via LeMat-Bulk.

Cell: 3.8675 7.1016 6.9711 Å, 71.87 90.00 90.00°
Sites, in units of the cell vectors:
Tb1 0.0000 0.7513 0.7606
Tb2 0.0000 0.2487 0.2394
Tb3 0.5000 0.7694 0.2330
Tb4 0.5000 0.2306 0.7670
Pt1 0.5000 0.5000 0.0000
S1 0.0000 0.0000 0.0000
S2 0.5000 0.0000 0.5000
Cl1 0.0000 0.5000 0.5000

Values from the calculation:
- N(E_F): 4.4 states/eV/f.u.
- Density: 8.5 g/cm³
- Formation energy (no corrections): -1628 meV per atom
- DFT total energy: -5.9613 eV per atom
- Symmetry: No. 10



Entry 4:
First-principles (GGA-PBE) data for a relaxed structure of TcPtSCl2, as listed in Alexandria via LeMat-Bulk.

Cell: 4.8196 4.8196 4.8363 Å, 90.00 90.00 90.00°
Site moments in Bohr magnetons follow the coordinates.
Sites, in units of the cell vectors:
S1 0.0000 0.0000 0.5000  0.10
Tc1 0.5000 0.5000 0.5000  4.06
Pt1 0.0000 0.0000 0.0000  0.04
Cl1 0.0000 0.5000 0.0000  0.06
Cl2 0.5000 0.0000 0.0000  0.06

Values from the calculation:
- N(E_F): 1.3 states/eV/f.u.
- Density: 5.9 g/cm³
- Offset from the most stable computed form: 0.047 eV/atom
- Formation energy (no corrections): 689 meV per atom
- DFT total energy: -4.1565 eV per atom
- Symmetry: No. 123



Entry 5:
First-principles (GGA-PBE) data for a relaxed structure of TcPtSCl2, as listed in Alexandria via LeMat-Bulk.

Cell: 4.8295 4.8295 4.4764 Å, 90.00 90.00 90.00°
Site moments in Bohr magnetons follow the coordinates.
Sites, in units of the cell vectors:
S1 0.0000 0.0000 0.5000  -0.02
Tc1 0.0000 0.0000 0.0000  0.69
Pt1 0.5000 0.5000 0.5000  0.29
Cl1 0.0000 0.5000 0.0000  0.06
Cl2 0.5000 0.0000 0.0000  0.06

Values from the calculation:
- N(E_F): 8.1 states/eV/f.u.
- Density: 6.3 g/cm³
- Offset from the most stable computed form: 0.000 eV/atom
- Formation energy (no corrections): 642 meV per atom
- DFT total energy: -4.2038 eV per atom
- Symmetry: No. 123



Entry 6:
First-principles (GGA-PBE) data for a relaxed structure of TePtSCl2, as listed in Alexandria via LeMat-Bulk.

Cell: 4.8333 4.8333 4.8100 Å, 90.00 90.00 90.00°
Site moments in Bohr magnetons follow the coordinates.
Sites, in units of the cell vectors:
S1 0.0000 0.0000 0.5000  0.00
Te1 0.5000 0.5000 0.5000  0.08
Pt1 0.0000 0.0000 0.0000  0.00
Cl1 0.0000 0.5000 0.0000  0.01
Cl2 0.5000 0.0000 0.0000  0.01

Values from the calculation:
- N(E_F): 4.3 states/eV/f.u.
- Density: 6.3 g/cm³
- Offset from the most stable computed form: 0.000 eV/atom
- Formation energy (no corrections): 242 meV per atom
- DFT total energy: -3.1582 eV per atom
- Symmetry: No. 123



Entry 7:
First-principles (GGA-PBE) data for a relaxed structure of TePtS2Cl, as listed in Alexandria via LeMat-Bulk.

Cell: 4.7584 4.7584 4.7693 Å, 90.00 90.00 90.00°
Sites, in units of the cell vectors:
S1 0.0000 0.5000 0.0000
S2 0.5000 0.0000 0.0000
Te1 0.5000 0.5000 0.5000
Pt1 0.0000 0.0000 0.0000
Cl1 0.0000 0.0000 0.5000

Values from the calculation:
- N(E_F): 3.2 states/eV/f.u.
- Density: 6.5 g/cm³
- Offset from the most stable computed form: 0.000 eV/atom
- Formation energy (no corrections): 326 meV per atom
- DFT total energy: -3.5304 eV per atom
- Symmetry: No. 123



Entry 8:
First-principles (GGA-PBE) data for a relaxed structure of TiPtS2Cl, as listed in Alexandria via LeMat-Bulk.

Cell: 4.7411 4.7411 4.5266 Å, 90.00 90.00 90.00°
Sites, in units of the cell vectors:
S1 0.0000 0.5000 0.0000
S2 0.5000 0.0000 0.0000
Cl1 0.0000 0.0000 0.5000
Pt1 0.5000 0.5000 0.5000
Ti1 0.0000 0.0000 0.0000

Values from the calculation:
- N(E_F): 4.3 states/eV/f.u.
- Density: 5.6 g/cm³
- Offset from the most stable computed form: 0.000 eV/atom
- Formation energy (no corrections): 12 meV per atom
- DFT total energy: -4.7959 eV per atom
- Symmetry: No. 123